Below is a relaxed La2ZrTiIr2 crystal, with properties calculated at the PBE level.

- Final energy: -47.99 eV/f.u.

Cell: 8.1734 8.1734 8.1734 Å, 133.01 68.58 133.08°
Positions (direct):
La 0.1852 0.2220 0.4073
La 0.3148 0.7220 0.0368
La 0.6852 0.2780 0.9632
La 0.8148 0.7780 0.5927
Zr 0.2500 0.7500 0.5000
Zr 0.7500 0.2500 0.5000
Ti 0.2500 0.2500 0.0000
Ti 0.7500 0.7500 0.0000
Ir 0.0965 0.7678 0.8643
Ir 0.4035 0.2678 0.6713
Ir 0.5965 0.7322 0.3287
Ir 0.9035 0.2322 0.1357

Below is a relaxed Pm4YSe6 crystal, with properties calculated at the PBE level.

- E_form (uncorrected): -1723.7 meV per atom
- Final energy: -65.33 eV/f.u.

Cell: 8.2878 8.2878 8.2878 Å, 91.12 91.12 91.12°
Positions (direct):
Pm 0.1369 0.7500 0.3631
Pm 0.2500 0.2500 0.2500
Pm 0.2500 0.6369 0.8631
Pm 0.3631 0.1369 0.7500
Pm 0.6369 0.8631 0.2500
Pm 0.7500 0.3631 0.1369
Pm 0.7500 0.7500 0.7500
Pm 0.8631 0.2500 0.6369
Y 0.0000 0.0000 0.0000
Y 0.5000 0.5000 0.5000
Se 0.0604 0.9149 0.6796
Se 0.0851 0.3204 0.9396
Se 0.1796 0.4149 0.5604
Se 0.3204 0.9396 0.0851
Se 0.4149 0.5604 0.1796
Se 0.4396 0.8204 0.5851
Se 0.5604 0.1796 0.4149
Se 0.5851 0.4396 0.8204
Se 0.6796 0.0604 0.9149
Se 0.8204 0.5851 0.4396
Se 0.9149 0.6796 0.0604
Se 0.9396 0.0851 0.3204

Below is a relaxed MgAlP2O crystal, with properties calculated at the PBE level.

- E_form (uncorrected): 280.0 meV per atom
- Relative energy among the computed polymorphs: 0.703 eV per atom
- Final energy: -19.72 eV/f.u.

Cell: 4.9883 4.9883 3.6040 Å, 90.00 90.00 90.00°
Positions (direct):
Mg 0.0000 0.0000 0.0000
Al 0.5000 0.5000 0.5000
P 0.0000 0.5000 0.0000
P 0.5000 0.0000 0.0000
O 0.0000 0.0000 0.5000

Below is a relaxed Pm6CuHg2 crystal, with properties calculated at the PBE level.

- Final energy: -33.40 eV/f.u.

Cell: 8.8128 8.8128 5.1710 Å, 106.96 106.96 49.35°
Positions (direct):
Pm 0.0836 0.5958 0.3400
Pm 0.2307 0.7693 0.0000
Pm 0.4042 0.9164 0.6600
Pm 0.5958 0.0836 0.3400
Pm 0.7693 0.2307 0.0000
Pm 0.9164 0.4042 0.6600
Cu 0.0000 0.0000 0.5000
Hg 0.3340 0.3340 0.8344
Hg 0.6660 0.6660 0.1656

Below is a relaxed EuLuIrPd crystal, with properties calculated at the PBE level.

- Final energy: -31.61 eV/f.u.

Cell: 4.9045 4.9045 4.9045 Å, 60.00 60.00 60.00°
Positions (direct):
Eu 0.0000 0.0000 0.0000
Lu 0.5000 0.5000 0.5000
Ir 0.2500 0.2500 0.2500
Pd 0.7500 0.7500 0.7500

Below is a relaxed Cs2CdHg16 crystal, with properties calculated at the PBE level.

- Final energy: -9.75 eV/f.u.

Cell: 8.5086 8.5086 8.5086 Å, 81.20 81.20 81.20°
Positions (direct):
Cs 0.0000 0.0000 0.0000
Cs 0.3216 0.3216 0.3216
Cd 0.7335 0.7335 0.7335
Hg 0.0209 0.0209 0.4745
Hg 0.0209 0.4745 0.0209
Hg 0.1107 0.6787 0.6787
Hg 0.3155 0.3155 0.7849
Hg 0.3155 0.7849 0.3155
Hg 0.3587 0.6542 0.9488
Hg 0.3587 0.9488 0.6542
Hg 0.4745 0.0209 0.0209
Hg 0.5483 0.5483 0.5483
Hg 0.6542 0.3587 0.9488
Hg 0.6542 0.9488 0.3587
Hg 0.6787 0.1107 0.6787
Hg 0.6787 0.6787 0.1107
Hg 0.7849 0.3155 0.3155
Hg 0.9488 0.3587 0.6542
Hg 0.9488 0.6542 0.3587

Below is a relaxed AlSbBr2 crystal, with properties calculated at the PBE level.

- E_form (uncorrected): -301.6 meV per atom
- Relative energy among the computed polymorphs: 0.036 eV per atom
- Final energy: -12.42 eV/f.u.

Cell: 7.3430 7.3430 7.0199 Å, 109.13 109.13 25.96°
Positions (direct):
Al 0.0000 0.0000 0.0000
Sb 0.3729 0.3729 0.6855
Br 0.4552 0.4552 0.2365
Br 0.6394 0.6394 0.0316

Below is a relaxed PrSnHg crystal, with properties calculated at the PBE level.

- Final energy: -10.65 eV/f.u.

Cell: 5.3133 5.3133 6.5795 Å, 90.00 90.00 116.91°
Positions (direct):
Pr 0.1619 0.8381 0.7500
Pr 0.8381 0.1619 0.2500
Sn 0.5000 0.5000 0.0000
Sn 0.5000 0.5000 0.5000
Hg 0.1789 0.8211 0.2500
Hg 0.8211 0.1789 0.7500